Compound: K3CuAg2Cl8
Source: Alexandria via LeMat-Bulk
Functional: PBE-GGA
Structure: relaxed

Cell: 6.963 6.963 9.427 Å, 90.00 90.00 120.00°
Sites, in units of the cell vectors:
K  0.000  0.000  0.000
K  0.333  0.667  0.613
K  0.667  0.333  0.387
Cu  0.000  0.000  0.500
Ag  0.333  0.667  0.189
Ag  0.667  0.333  0.811
Cl  0.160  0.320  0.347
Cl  0.160  0.840  0.347
Cl  0.320  0.160  0.653
Cl  0.333  0.667  0.934
Cl  0.667  0.333  0.066
Cl  0.680  0.840  0.347
Cl  0.840  0.160  0.653
Cl  0.840  0.680  0.653

Results
Total energy = -3.037 eV/atom
E_form (uncorrected) = -1.05 eV/atom
SG = P-3m1, No. 164

=====

Compound: CuSe2SN
Source: Alexandria via LeMat-Bulk
Functional: PBE-GGA
Structure: relaxed

Cell: 5.100 5.100 3.245 Å, 90.00 90.00 90.00°
Sites, in units of the cell vectors:
Cu  0.000  0.000  0.000
Se  0.000  0.500  0.500
Se  0.500  0.000  0.500
S  0.500  0.500  0.500
N  0.500  0.500  0.000

Results
E above lowest polymorph = 0.000 eV per formula unit
Total energy = -3.690 eV/atom
E_form (uncorrected) = 1.01 eV/atom
SG = P4/mmm, No. 123

=====

Compound: TlCr2CuBi
Source: Alexandria via LeMat-Bulk
Functional: PBE-GGA
Structure: relaxed

Cell: 4.929 4.929 4.864 Å, 90.00 90.00 90.00°
Sites, in units of the cell vectors:
Tl  0.000  0.000  0.000
Cr  0.000  0.500  0.500
Cr  0.500  0.000  0.500
Cu  0.000  0.000  0.500
Bi  0.500  0.500  0.000

Results
Total energy = -5.129 eV/atom
DFT formation energy = 3.9 eV per formula unit
SG = P4/mmm, No. 123